VASP calculation (GGA+U) on crystalline CdWF2 at its relaxed geometry.

Values from the calculation:
density	7.7	g cm⁻³
space-group type	R-3m
calculated total energy	-4.048	eV/atom

Lattice parameters (Å, degrees): 9.592 9.592 9.592 17.80 17.80 17.80
Sites, in units of the cell vectors:
Cd1 0.000 0.000 0.000
W1 0.500 0.500 0.500
F1 0.432 0.432 0.432
F2 0.568 0.568 0.568